[1]
! KOsS2, optimized geometry, DFT GGA-PBEsol; values from VASP
! DOS at the Fermi energy   0.510 states/eV/atom
! Density   5.3 g/cm3
! Uncorrected energy   -47.72 eV/cell
! V   23.16 Å³/atom
! Formation energy from raw total energies   -1.74 eV/f.u.
! Total moment   0.00 μB per cell
&SYSTEM
  ibrav = 0, nat = 8, ntyp = 3
/
ATOMIC_SPECIES
S 32.06 S.upf
Os 190.23 Os.upf
K 39.10 K.upf
CELL_PARAMETERS angstrom
6.2207 0.0359 0.0603
-2.1691 5.8304 -0.0603
-2.1691 -2.8342 5.0956
ATOMIC_POSITIONS angstrom
S 1.0210 1.4610 1.3298
S -0.2230 2.3202 5.0246
S -1.1643 3.9594 0.5993
S 4.1314 -1.6764 3.2375
Os 0.0000 0.0000 0.0000
Os 0.9413 3.6822 1.2588
K 0.9413 -0.6501 3.8367
K -2.1691 1.4981 2.5177

=====

[2]
! KSbOs, optimized geometry, DFT GGA-PBEsol; values from VASP
! DOS at the Fermi energy   0.684 states/eV/atom
! Density   8.3 g/cm3
! Uncorrected energy   -14.81 eV/cell
! V   23.35 Å³/atom
! Formation energy from raw total energies   3.09 eV/f.u.
! Total moment   0.00 μB per cell
&SYSTEM
  ibrav = 0, nat = 3, ntyp = 3
/
ATOMIC_SPECIES
K 39.10 K.upf
Os 190.23 Os.upf
Sb 121.76 Sb.upf
CELL_PARAMETERS angstrom
4.6271 0.0000 0.0000
2.3136 4.0072 0.0000
2.3136 1.3357 3.7780
ATOMIC_POSITIONS angstrom
K 4.6271 2.6715 1.8890
Os 2.3136 1.3357 0.9445
Sb 0.0000 0.0000 0.0000

=====

[3]
! KSb2TeOs, optimized geometry, DFT GGA-PBEsol; values from VASP
! DOS at the Fermi energy   1.255 states/eV/atom
! Density   6.6 g/cm3
! Uncorrected energy   -24.54 eV/cell
! V   30.36 Å³/atom
! Formation energy from raw total energies   1.45 eV/f.u.
! Total moment   0.01 μB per cell
&SYSTEM
  ibrav = 0, nat = 5, ntyp = 4
/
ATOMIC_SPECIES
K 39.10 K.upf
Sb 121.76 Sb.upf
Te 127.60 Te.upf
Os 190.23 Os.upf
CELL_PARAMETERS angstrom
-2.8209 2.4092 -3.3780
-1.4713 -4.4001 -1.9096
-4.6637 -0.0998 3.8234
ATOMIC_POSITIONS angstrom
K -4.4779 -1.0454 -0.7321
Sb -0.7356 -2.2001 -0.9548
Sb -1.4104 1.2046 -1.6890
Te -2.3319 -0.0499 1.9117
Os 0.0000 0.0000 0.0000

=====

[4]
! KScOs2, optimized geometry, DFT GGA-PBEsol; values from VASP
! ΔE_f   0.76 eV per atom
! DOS at the Fermi energy   1.258 states/eV/atom
! Density   10.6 g/cm3
! Relative energy among the computed polymorphs   0.184 eV per atom
! Uncorrected energy   -29.14 eV/cell
! V   18.26 Å³/atom
! Total moment   0.00 μB per cell
&SYSTEM
  ibrav = 0, nat = 4, ntyp = 3
/
ATOMIC_SPECIES
Sc 44.96 Sc.upf
Os 190.23 Os.upf
K 39.10 K.upf
CELL_PARAMETERS angstrom
-1.1309 0.6574 -2.4231
-2.5107 -0.3119 1.0871
-0.0523 9.2901 2.5450
ATOMIC_POSITIONS angstrom
Sc -1.8208 0.1728 -0.6680
Os -0.0412 7.3169 2.0044
Os -0.0111 1.9732 0.5406
K -1.8469 4.8178 0.6045

=====

[5]
! K2ScOs, optimized geometry, DFT GGA-PBEsol; values from VASP
! ΔE_f   1.06 eV per atom
! DOS at the Fermi energy   0.981 states/eV/atom
! Density   5.5 g/cm3
! Relative energy among the computed polymorphs   0.023 eV per atom
! Uncorrected energy   -16.87 eV/cell
! V   23.58 Å³/atom
! Total moment   0.46 μB per cell
&SYSTEM
  ibrav = 0, nat = 4, ntyp = 3
/
ATOMIC_SPECIES
K 39.10 K.upf
Sc 44.96 Sc.upf
Os 190.23 Os.upf
CELL_PARAMETERS angstrom
-3.7518 0.5872 1.2422
-1.3475 -0.8672 -3.6600
2.1530 -5.5613 2.7059
ATOMIC_POSITIONS angstrom
K -0.8721 -3.2843 -1.0815
K -2.0742 -2.5571 1.3696
Sc 0.0000 0.0000 0.0000
Os -2.5497 -0.1400 -1.2089

=====

[6]
! K2ScOs, optimized geometry, DFT GGA-PBEsol; values from VASP
! ΔE_f   1.03 eV per atom
! DOS at the Fermi energy   0.854 states/eV/atom
! Density   5.6 g/cm3
! Relative energy among the computed polymorphs   0.000 eV per atom
! Uncorrected energy   -16.96 eV/cell
! V   23.19 Å³/atom
! Total moment   0.00 μB per cell
&SYSTEM
  ibrav = 0, nat = 4, ntyp = 3
/
ATOMIC_SPECIES
K 39.10 K.upf
Os 190.23 Os.upf
Sc 44.96 Sc.upf
CELL_PARAMETERS angstrom
-2.9033 -0.6905 -1.2692
2.1951 -2.5919 -3.1977
-0.4388 -4.8970 3.6680
ATOMIC_POSITIONS angstrom
K -0.5591 -2.4446 -3.3305
K -0.1491 -0.8378 -1.1363
Os 0.8782 -3.7444 0.2352
Sc -1.6710 -2.7937 1.1994